Record 1
# Nd3PuSe6, relaxed, DFT GGA-PBE
# Polymorph energy (0 for the lowest one) ... 34.9 meV/atom
# M_tot ... 5.000 μB per formula unit
# Raw formation energy ... -1.702 eV per atom
# DOS(E_F) ... 23.103 states/eV/cell
data_Nd3PuSe6
_chemical_formula_sum 'Nd6 Pu2 Se12'
_space_group_name_H-M_alt 'P 1 21/c 1'
_space_group_IT_number 14
_cell_length_a 7.003
_cell_length_b 7.798
_cell_length_c 12.806
_cell_angle_alpha 90.00
_cell_angle_beta 122.81
_cell_angle_gamma 90.00
loop_
_space_group_symop_operation_xyz
'x,y,z'
'-x,-y,-z'
'-x,y+1/2,-z+1/2'
'x,-y+1/2,z+1/2'
loop_
_atom_site_label
_atom_site_fract_x
_atom_site_fract_y
_atom_site_fract_z
Nd1 0.000 0.000 0.000
Nd2 0.298 0.104 0.752
Pu1 0.500 0.000 0.500
Se1 0.094 0.062 0.253
Se2 0.259 0.682 0.084
Se3 0.416 0.184 0.082



Record 2
# Nd3PuSe4, relaxed, DFT GGA-PBE
# Polymorph energy (0 for the lowest one) ... 0.0 meV/atom
# M_tot ... 6.024 μB per formula unit
# Raw formation energy ... -1.779 eV per atom
# DOS(E_F) ... 18.827 states/eV/cell
data_Nd3PuSe4
_chemical_formula_sum 'Nd6 Pu2 Se8'
_space_group_name_H-M_alt 'I 4/m m m'
_space_group_IT_number 139
_space_group_name_Hall '-I 4 2'
_cell_length_a 5.950
_cell_length_b 5.950
_cell_length_c 11.927
_cell_angle_alpha 90.00
_cell_angle_beta 90.00
_cell_angle_gamma 90.00
loop_
_atom_site_label
_atom_site_fract_x
_atom_site_fract_y
_atom_site_fract_z
Nd1 0.000 0.000 0.000
Nd2 0.000 0.500 0.250
Pu1 0.000 0.000 0.500
Se1 0.000 0.000 0.253
Se2 0.000 0.500 0.000



Among the records above, which one has the highest DOS(E_F)? Nd3PuSe6



Number 1 is which compound? Nd3PuSe6